# 1
4
Lattice="-0.908 2.637 3.177 -3.474 -2.352 -0.526 1.177 -2.226 2.184" Properties=species:S:1:pos:R:3 comment="PBE AlP2Ir, optimized geometry" space_group="Cmmm (65)" final_energy_ev_per_atom=-5.778 n_ef_per_ev_fu=1.58 formation_energy_mev_per_atom=78 pbc="T T T"
P 0.000 0.000 0.000
P -2.191 0.143 1.326
Ir -1.148 -2.289 0.829
Al 0.134 0.205 2.681


# 2
4
Lattice="4.539 0.037 -0.077 3.540 2.841 -0.077 0.702 0.250 4.524" Properties=species:S:1:pos:R:3 comment="PBE Al2PIr, optimized geometry" space_group="C2/m (12)" final_energy_ev_per_atom=-5.689 n_ef_per_ev_fu=1.11 formation_energy_mev_per_atom=-250 pbc="T T T"
P 2.195 0.782 1.093
Ir 6.586 2.346 3.278
Al 0.779 0.278 4.494
Al 4.314 1.537 2.215


# 3
6
Lattice="0.000 3.534 3.534 3.534 0.000 3.534 3.534 3.534 0.000" Properties=species:S:1:pos:R:3 comment="PBE AlP4Ir, optimized geometry" space_group="F-43m (216)" final_energy_ev_per_atom=-4.964 n_ef_per_ev_fu=2.87 formation_energy_mev_per_atom=743 pbc="T T T"
Al 1.767 1.767 1.767
P 2.665 2.665 4.403
P 2.665 4.403 2.665
P 4.403 4.403 4.403
P 4.403 2.665 2.665
Ir 0.000 0.000 0.000


# 4
4
Lattice="4.956 0.006 0.052 4.145 2.717 0.052 1.205 0.361 4.438" Properties=species:S:1:pos:R:3 comment="PBE Al2PIr, optimized geometry" space_group="Cm (8)" final_energy_ev_per_atom=-5.792 n_ef_per_ev_fu=1.40 formation_energy_mev_per_atom=-353 pbc="T T T"
P 2.216 0.663 0.971
Ir 5.429 1.625 2.464
Al 9.021 2.700 0.322
Al 7.893 2.363 3.160


# 5
8
Lattice="5.589 0.000 0.000 0.000 5.589 0.000 2.794 2.794 5.493" Properties=species:S:1:pos:R:3 comment="PBE Al2PIr, optimized geometry" space_group="I-42d (122)" final_energy_ev_per_atom=-5.486 n_ef_per_ev_fu=0.00 formation_energy_mev_per_atom=-47 pbc="T T T"
P 2.794 2.794 0.000
P 2.794 5.589 2.746
Ir 0.000 0.000 0.000
Ir 5.589 2.794 2.746
Al 4.165 1.397 1.373
Al 1.423 4.191 1.373
Al 4.191 4.217 4.119
Al 6.986 6.960 4.119


# 6
4
Lattice="-3.067 -3.267 4.261 4.096 -1.305 -1.598 1.024 0.014 2.629" Properties=species:S:1:pos:R:3 comment="PBE Al2PIr, optimized geometry" space_group="C2/m (12)" final_energy_ev_per_atom=-5.773 n_ef_per_ev_fu=1.44 formation_energy_mev_per_atom=-334 pbc="T T T"
P 0.515 -2.286 1.331
Ir 2.560 -0.645 0.516
Al 0.000 0.000 0.000
Al -1.021 -1.626 3.445


# 7
4
Lattice="4.599 0.010 0.000 1.226 4.433 0.000 -2.913 -2.222 2.781" Properties=species:S:1:pos:R:3 comment="PBE AlP2Ir, optimized geometry" space_group="I-4m2 (119)" final_energy_ev_per_atom=-5.742 n_ef_per_ev_fu=1.90 formation_energy_mev_per_atom=114 pbc="T T T"
P 0.000 0.000 0.000
P 0.613 2.216 1.390
Ir 2.300 0.005 1.390
Al 2.913 2.222 0.000


# 8
4
Lattice="4.147 -0.015 -0.027 -1.610 4.217 0.009 0.928 1.938 3.540" Properties=species:S:1:pos:R:3 comment="PBE AlP2Ir, optimized geometry" space_group="Fmmm (69)" final_energy_ev_per_atom=-5.862 n_ef_per_ev_fu=2.21 formation_energy_mev_per_atom=-6 pbc="T T T"
P 0.000 0.000 0.000
P 2.537 0.962 1.756
Ir 1.269 2.101 -0.009
Al -0.341 3.078 1.775


# 9
4
Lattice="-1.900 -3.125 -6.892 -0.806 -5.513 -5.462 -3.653 -4.697 -5.048" Properties=species:S:1:pos:R:3 comment="PBE Al2PIr, optimized geometry" space_group="R-3m (166)" final_energy_ev_per_atom=-5.751 n_ef_per_ev_fu=1.81 formation_energy_mev_per_atom=-312 pbc="T T T"
P -4.770 -10.001 -13.051
Ir -1.590 -3.334 -4.350
Al -0.004 -0.008 -0.010
Al -3.176 -6.660 -8.691


# 10
4
Lattice="2.877 0.000 0.000 0.000 2.877 0.000 0.000 0.000 7.187" Properties=species:S:1:pos:R:3 comment="PBE Al2PIr, optimized geometry" space_group="P4mm (99)" final_energy_ev_per_atom=-5.628 n_ef_per_ev_fu=2.12 formation_energy_mev_per_atom=-189 pbc="T T T"
P 1.438 1.438 5.218
Ir 0.000 0.000 3.700
Al 0.000 0.000 7.115
Al 1.438 1.438 1.935


# 11
4
Lattice="-0.633 6.927 3.668 -3.384 5.729 4.192 -1.035 4.993 5.987" Properties=species:S:1:pos:R:3 comment="PBE Al2PIr, optimized geometry" space_group="R3m (160)" final_energy_ev_per_atom=-5.622 n_ef_per_ev_fu=2.08 formation_energy_mev_per_atom=-183 pbc="T T T"
P -3.813 13.322 10.452
Ir -2.493 8.710 6.834
Al -0.028 0.098 0.077
Al -1.243 4.343 3.407


# 12
4
Lattice="3.134 0.000 0.000 0.000 4.273 0.217 0.000 1.121 4.561" Properties=species:S:1:pos:R:3 comment="PBE AlP2Ir, optimized geometry" space_group="Pm (6)" final_energy_ev_per_atom=-6.070 n_ef_per_ev_fu=1.17 formation_energy_mev_per_atom=-215 pbc="T T T"
P 0.000 2.843 0.404
P 1.567 1.232 0.804
Ir 1.567 0.997 3.213
Al 0.000 3.021 2.745


# 13
4
Lattice="5.884 -0.003 0.011 3.667 4.602 -0.011 -4.354 -3.174 2.364" Properties=species:S:1:pos:R:3 comment="PBE AlP2Ir, optimized geometry" space_group="Immm (71)" final_energy_ev_per_atom=-5.912 n_ef_per_ev_fu=1.83 formation_energy_mev_per_atom=-56 pbc="T T T"
P 0.547 0.263 0.000
P 4.229 2.036 0.000
Ir 2.044 1.864 1.177
Al 3.153 -0.439 1.187


# 14
4
Lattice="7.068 0.008 0.005 6.360 3.083 0.005 6.360 1.464 2.714" Properties=species:S:1:pos:R:3 comment="PBE AlP2Ir, optimized geometry" space_group="R3m (160)" final_energy_ev_per_atom=-5.975 n_ef_per_ev_fu=1.49 formation_energy_mev_per_atom=-119 pbc="T T T"
P 19.719 4.539 2.713
P 5.102 1.174 0.702
Ir 14.723 3.389 2.026
Al 9.930 2.286 1.366


# 15
4
Lattice="-0.466 2.378 -1.408 -3.011 0.048 1.077 1.914 3.454 5.198" Properties=species:S:1:pos:R:3 comment="PBE AlP2Ir, optimized geometry" space_group="Pmmm (47)" final_energy_ev_per_atom=-5.779 n_ef_per_ev_fu=0.98 formation_energy_mev_per_atom=77 pbc="T T T"
P 1.869 3.373 5.076
P 1.002 1.808 2.721
Ir -0.303 3.803 3.733
Al -1.260 2.076 1.134


# 16
10
Lattice="-1.175 6.657 2.500 -4.101 -2.704 5.273 2.313 -0.224 1.684" Properties=species:S:1:pos:R:3 comment="PBE Al2PIr2, optimized geometry" space_group="P4/mbm (127)" final_energy_ev_per_atom=-6.555 n_ef_per_ev_fu=3.04 formation_energy_mev_per_atom=-431 pbc="T T T"
P 0.000 0.000 0.000
P -2.638 1.976 3.887
Ir -3.839 -0.013 5.271
Ir -3.697 3.796 5.584
Ir -1.438 3.965 2.502
Ir -1.579 0.156 2.190
Al -1.616 -0.924 4.542
Al -3.132 1.792 6.986
Al -1.348 4.652 4.916
Al 0.169 1.936 2.471


# 17
4
Lattice="-0.861 -1.586 -3.094 2.349 -2.288 -1.440 -1.850 -5.595 1.216" Properties=species:S:1:pos:R:3 comment="PBE AlP2Ir, optimized geometry" space_group="C2/m (12)" final_energy_ev_per_atom=-6.037 n_ef_per_ev_fu=1.64 formation_energy_mev_per_atom=-181 pbc="T T T"
P -1.785 -5.489 1.136
P -0.245 -4.840 -1.579
Ir -0.271 -7.102 -2.488
Al -0.090 -2.367 -0.829


# 18
4
Lattice="-2.450 -0.376 1.282 -1.709 -1.839 -3.806 1.358 -4.127 1.384" Properties=species:S:1:pos:R:3 comment="PBE AlP2Ir, optimized geometry" space_group="Pmmm (47)" final_energy_ev_per_atom=-5.665 n_ef_per_ev_fu=1.62 formation_energy_mev_per_atom=191 pbc="T T T"
P 0.000 0.000 0.000
P -2.079 -1.108 -1.262
Ir -0.175 -2.983 -1.211
Al -0.546 -2.252 1.333


# 19
4
Lattice="-2.845 1.442 -1.792 -3.432 -1.166 -0.497 -4.716 3.241 4.388" Properties=species:S:1:pos:R:3 comment="PBE AlP2Ir, optimized geometry" space_group="Cm (8)" final_energy_ev_per_atom=-6.061 n_ef_per_ev_fu=1.09 formation_energy_mev_per_atom=-205 pbc="T T T"
P -10.620 3.429 2.091
P -3.092 0.917 0.444
Ir -8.472 2.769 1.736
Al -5.299 1.678 0.978


# 20
4
Lattice="-0.981 2.362 3.533 -0.154 -1.903 3.922 3.077 0.867 2.967" Properties=species:S:1:pos:R:3 comment="PBE Al2PIr, optimized geometry" space_group="F-43m (216)" final_energy_ev_per_atom=-5.502 n_ef_per_ev_fu=1.04 formation_energy_mev_per_atom=-63 pbc="T T T"
P 0.485 0.332 2.605
Ir 0.971 0.663 5.211
Al 0.000 0.000 0.000
Al 1.456 0.995 7.816